# 1
An optimized crystal structure of BPtO. Source: Alexandria, functional GGA-PBE.

Output
**N(E_F)**: 2.30 states/eV/cell
**Excess energy over the best structure of this formula in the dataset**: 574 meV/atom
**Energy relative to the elements, uncorrected**: -0.168 eV/atom
**Density**: 7.8 g/cm³

Cell: 4.224 4.224 3.994 Å, 121.92 121.92 90.00°
Atoms (fractional coordinates):
Pt (0.936, 0.936, 0.873)
O (0.338, 0.338, 0.676)
B (0.576, 0.576, 0.151)


# 2
An optimized crystal structure of Y2Te2O. Source: Alexandria, functional GGA-PBE.

Output
**N(E_F)**: 5.01 states/eV/cell
**Excess energy over the best structure of this formula in the dataset**: 661 meV/atom
**Energy relative to the elements, uncorrected**: -1.433 eV/atom
**Density**: 6.3 g/cm³

Cell: 6.709 6.709 5.297 Å, 90.00 90.00 90.00°
Atoms (fractional coordinates):
Y (0.692, 0.192, 0.000)
Y (0.808, 0.692, 0.000)
Y (0.308, 0.808, 0.000)
Y (0.192, 0.308, 0.000)
Te (0.845, 0.345, 0.500)
Te (0.345, 0.155, 0.500)
Te (0.655, 0.845, 0.500)
Te (0.155, 0.655, 0.500)
O (0.000, 0.000, 0.000)
O (0.500, 0.500, 0.000)


# 3
An optimized crystal structure of La5Dy3Cu4O16. Source: Alexandria, functional GGA-PBE.

Output
**N(E_F)**: 5.08 states/eV/cell
**Energy relative to the elements, uncorrected**: -2.627 eV/atom
**Density**: 7.5 g/cm³

Cell: 3.873 3.873 24.997 Å, 90.00 90.00 90.00°
Each line ends with the local moment (μB).
Atoms (fractional coordinates):
O (0.500, 0.000, 0.618)  0.01
O (0.500, 0.000, 0.383)  0.01
O (0.500, 0.000, 0.994)  0.00
O (0.000, 0.500, 0.618)  0.01
O (0.500, 0.000, 0.125)  -0.02
O (0.500, 0.000, 0.500)  0.00
O (0.000, 0.500, 0.994)  0.00
O (0.000, 0.500, 0.125)  -0.02
O (0.500, 0.000, 0.877)  0.01
O (0.000, 0.500, 0.500)  0.00
O (0.500, 0.500, 0.714)  0.00
O (0.000, 0.500, 0.877)  0.01
O (0.000, 0.000, 0.288)  0.00
O (0.500, 0.500, 0.220)  0.00
O (0.000, 0.000, 0.781)  0.00
O (0.000, 0.500, 0.383)  0.01
La (0.000, 0.000, 0.689)  0.00
La (0.000, 0.000, 0.195)  0.00
La (0.000, 0.000, 0.047)  0.00
La (0.500, 0.500, 0.311)  0.00
La (0.500, 0.500, 0.805)  0.00
Dy (0.000, 0.000, 0.546)  0.00
Dy (0.500, 0.500, 0.949)  0.00
Dy (0.500, 0.500, 0.455)  0.00
Cu (0.500, 0.500, 0.126)  -0.09
Cu (0.500, 0.500, 0.618)  0.04
Cu (0.000, 0.000, 0.382)  0.03
Cu (0.000, 0.000, 0.877)  0.02


# 4
An optimized crystal structure of Pm2Dy6ErTm3. Source: Alexandria, functional GGA-PBE.

Output
**N(E_F)**: 15.68 states/eV/cell
**ΔE_f**: 0.019 eV/atom
**Density**: 8.5 g/cm³

Cell: 6.132 6.132 11.738 Å, 94.98 94.98 119.95°
Atoms (fractional coordinates):
Er (0.000, 0.000, 0.000)
Dy (0.752, 0.752, 0.253)
Dy (0.248, 0.248, 0.747)
Dy (0.418, 0.085, 0.253)
Dy (0.085, 0.418, 0.253)
Dy (0.915, 0.582, 0.747)
Dy (0.582, 0.915, 0.747)
Tm (0.166, 0.834, 0.500)
Tm (0.500, 0.500, 0.500)
Tm (0.834, 0.166, 0.500)
Pm (0.667, 0.333, 0.000)
Pm (0.333, 0.667, 0.000)


# 5
An optimized crystal structure of Na5Cd4Hg. Source: Alexandria, functional GGA-PBE.

Output
**N(E_F)**: 3.70 states/eV/cell
**ΔE_f**: -0.102 eV/atom
**Density**: 4.8 g/cm³

Cell: 3.838 3.838 17.934 Å, 90.00 90.00 90.00°
Atoms (fractional coordinates):
Cd (0.000, 0.000, 0.600)
Cd (0.000, 0.000, 0.400)
Cd (0.000, 0.000, 0.800)
Cd (0.000, 0.000, 0.200)
Na (0.500, 0.500, 0.700)
Na (0.500, 0.500, 0.300)
Na (0.500, 0.500, 0.902)
Na (0.500, 0.500, 0.098)
Na (0.500, 0.500, 0.500)
Hg (0.000, 0.000, 0.000)


# 6
An optimized crystal structure of PrGa3. Source: Alexandria, functional GGA-PBE.

Output
**N(E_F)**: 5.12 states/eV/cell
**ΔE_f**: -0.552 eV/atom
**Density**: 6.9 g/cm³

Cell: 6.483 6.483 7.915 Å, 65.82 65.82 60.00°
Atoms (fractional coordinates):
Ga (0.719, 0.303, 0.674)
Ga (0.697, 0.281, 0.326)
Ga (0.281, 0.697, 0.326)
Ga (0.697, 0.697, 0.326)
Ga (0.000, 0.500, 0.000)
Ga (0.500, 0.500, 0.000)
Ga (0.500, 0.000, 0.000)
Ga (0.303, 0.303, 0.674)
Ga (0.303, 0.719, 0.674)
Pr (0.000, 0.000, 0.000)
Pr (0.214, 0.214, 0.359)
Pr (0.786, 0.786, 0.641)